(1)
Computed, not measured: CuAsBr2 after structural relaxation at the GGA-PBE level of DFT.

a b c (Å): 3.3760 3.3760 8.2457
angles (deg): 90.00 90.00 90.00
Space group P4mm (No. 99)
Symmetry-distinct sites (fractional):
Cu 0.0000 0.0000 0.0000 x1
As 0.5000 0.5000 0.1282 x1
Br 0.0000 0.0000 0.3905 x1
Br 0.5000 0.5000 0.8011 x1

Results
size of the total moment	0.00	μB per formula unit
E_form (uncorrected)	0.71	eV/f.u.

---

(2)
Computed, not measured: Cu2AsBr after structural relaxation at the GGA-PBE level of DFT.

a b c (Å): 4.3085 4.3085 7.5054
angles (deg): 90.00 90.00 90.00
Space group I4/mmm (No. 139)
Symmetry-distinct sites (fractional):
Cu 0.0000 0.5000 0.2500 x4
As 0.0000 0.0000 0.0000 x2
Br 0.0000 0.0000 0.5000 x2

Results
size of the total moment	0.00	μB per formula unit
E_form (uncorrected)	2.34	eV/f.u.

---

(3)
Computed, not measured: Cu2AsBr after structural relaxation at the GGA-PBE level of DFT.

a b c (Å): 3.7214 3.7214 20.2584
angles (deg): 90.00 90.00 120.00
Space group R3m (No. 160, hexagonal axes)
Symmetry-distinct sites (fractional):
Cu 0.0000 0.0000 0.0000 x3
Cu 0.0000 0.0000 0.2675 x3
As 0.0000 0.0000 0.5522 x3
Br 0.0000 0.0000 0.7358 x3

Results
size of the total moment	0.00	μB per formula unit
E_form (uncorrected)	0.42	eV/f.u.

---

(4)
Computed, not measured: Cu2AsBr after structural relaxation at the GGA-PBE level of DFT.

a b c (Å): 5.9745 7.2915 3.1768
angles (deg): 90.00 90.00 90.00
Space group Cmmm (No. 65)
Symmetry-distinct sites (fractional):
Cu 0.2500 0.2500 0.0000 x4
As 0.0000 0.0000 0.5000 x2
Br 0.0000 0.5000 0.5000 x2

Results
size of the total moment	0.00	μB per formula unit
E_form (uncorrected)	1.76	eV/f.u.

---

(5)
Computed, not measured: Cu2AsBr after structural relaxation at the GGA-PBE level of DFT.

a b c (Å): 7.0872 7.0288 3.2609
angles (deg): 90.00 96.07 90.00
Space group C2/m (No. 12)
Symmetry-distinct sites (fractional):
Cu 0.2500 0.2500 0.0000 x4
As 0.0000 0.0000 0.0000 x2
Br 0.0000 0.5000 0.0000 x2

Results
size of the total moment	0.00	μB per formula unit
E_form (uncorrected)	1.15	eV/f.u.

---

(6)
Computed, not measured: Cu2AsBr after structural relaxation at the GGA-PBE level of DFT.

a b c (Å): 6.5836 6.5836 6.5836
angles (deg): 90.00 90.00 90.00
Space group F-43m (No. 216)
Symmetry-distinct sites (fractional):
Cu 0.0000 0.0000 0.0000 x4
Cu 0.2500 0.2500 0.2500 x4
As 0.2500 0.2500 0.7500 x4
Br 0.0000 0.0000 0.5000 x4

Results
size of the total moment	0.00	μB per formula unit
E_form (uncorrected)	2.90	eV/f.u.